Record 1
Ta2Be3Ga: relaxed, GGA-PBE.

Output
- E_form: -0.177 eV per atom
- Raw total energy: -6.495 eV/atom
- Magnetization: 0.00 Bohr magnetons per cell
- Space-group type: No. 69
- Density: 10.0 Mg/m³

Lattice parameters (Å, degrees): 7.592 7.240 4.866 74.81 66.99 38.21
Atoms (fractional coordinates):
Ta (0.244, 0.756, 0.756)
Ta (0.250, 0.250, 0.250)
Ta (0.750, 0.750, 0.750)
Ta (0.756, 0.244, 0.244)
Be (0.162, 0.162, 0.838)
Be (0.162, 0.677, 0.323)
Be (0.323, 0.838, 0.162)
Be (0.677, 0.162, 0.838)
Be (0.838, 0.323, 0.677)
Be (0.838, 0.838, 0.162)
Ga (0.334, 0.334, 0.666)
Ga (0.666, 0.666, 0.334)


Record 2
Ta3BeGa2: relaxed, GGA-PBE.

Output
- E_form: -0.190 eV per atom
- Raw total energy: -7.746 eV/atom
- Magnetization: 0.00 Bohr magnetons per cell
- Space-group type: No. 62
- Density: 12.4 Mg/m³

Lattice parameters (Å, degrees): 10.518 3.626 9.741 90.00 90.00 90.00
Atoms (fractional coordinates):
Ta (0.038, 0.250, 0.112)
Ta (0.117, 0.750, 0.572)
Ta (0.207, 0.250, 0.793)
Ta (0.293, 0.750, 0.293)
Ta (0.383, 0.250, 0.072)
Ta (0.462, 0.750, 0.612)
Ta (0.538, 0.250, 0.388)
Ta (0.617, 0.750, 0.928)
Ta (0.707, 0.250, 0.707)
Ta (0.793, 0.750, 0.207)
Ta (0.883, 0.250, 0.428)
Ta (0.962, 0.750, 0.888)
Be (0.129, 0.250, 0.377)
Be (0.371, 0.750, 0.877)
Be (0.629, 0.250, 0.123)
Be (0.871, 0.750, 0.623)
Ga (0.031, 0.750, 0.308)
Ga (0.198, 0.750, 0.011)
Ga (0.302, 0.250, 0.511)
Ga (0.469, 0.250, 0.808)
Ga (0.531, 0.750, 0.192)
Ga (0.698, 0.750, 0.489)
Ga (0.802, 0.250, 0.989)
Ga (0.969, 0.250, 0.692)


Record 3
Ta2Be16Ga: relaxed, GGA-PBE.

Output
- E_form: -0.154 eV per atom
- Raw total energy: -4.699 eV/atom
- Magnetization: 0.00 Bohr magnetons per cell
- Space-group type: No. 160
- Density: 5.5 Mg/m³

Lattice parameters (Å, degrees): 5.632 5.632 5.632 83.20 83.20 83.20
Atoms (fractional coordinates):
Ta (0.000, 0.000, 0.000)
Ta (0.312, 0.312, 0.312)
Be (0.004, 0.004, 0.483)
Be (0.004, 0.483, 0.004)
Be (0.163, 0.648, 0.648)
Be (0.307, 0.307, 0.815)
Be (0.307, 0.815, 0.307)
Be (0.348, 0.652, 0.957)
Be (0.348, 0.957, 0.652)
Be (0.483, 0.004, 0.004)
Be (0.545, 0.545, 0.545)
Be (0.648, 0.163, 0.648)
Be (0.648, 0.648, 0.163)
Be (0.652, 0.348, 0.957)
Be (0.652, 0.957, 0.348)
Be (0.815, 0.307, 0.307)
Be (0.957, 0.348, 0.652)
Be (0.957, 0.652, 0.348)
Ga (0.751, 0.751, 0.751)


Record 4
Ta2BeTlGa: relaxed, GGA-PBE.

Output
- E_form: 1.043 eV per atom
- Raw total energy: -5.522 eV/atom
- Magnetization: 0.00 Bohr magnetons per cell
- Space-group type: No. 123
- Density: 11.1 Mg/m³

Lattice parameters (Å, degrees): 4.894 4.894 4.044 90.00 90.00 90.00
Atoms (fractional coordinates):
Ta (0.000, 0.500, 0.000)
Ta (0.500, 0.000, 0.000)
Be (0.000, 0.000, 0.500)
Tl (0.500, 0.500, 0.500)
Ga (0.000, 0.000, 0.000)


Record 5
TbBeGa: relaxed, GGA-PBE.

Output
- E_form: 0.183 eV per atom
- Raw total energy: -3.611 eV/atom
- Magnetization: 0.00 Bohr magnetons per cell
- Space-group type: No. 107
- Density: 6.4 Mg/m³

Lattice parameters (Å, degrees): 3.920 3.920 7.985 90.00 90.00 90.00
Atoms (fractional coordinates):
Tb (0.000, 0.000, 0.000)
Tb (0.500, 0.500, 0.500)
Be (0.000, 0.000, 0.354)
Be (0.500, 0.500, 0.854)
Ga (0.000, 0.000, 0.648)
Ga (0.500, 0.500, 0.148)


Record 6
TbBeGa: relaxed, GGA-PBE.

Output
- E_form: -0.285 eV per atom
- Raw total energy: -4.080 eV/atom
- Magnetization: 0.00 Bohr magnetons per cell
- Space-group type: No. 216
- Density: 6.9 Mg/m³

Lattice parameters (Å, degrees): 6.122 6.122 6.122 90.00 90.00 90.00
Atoms (fractional coordinates):
Tb (0.000, 0.000, 0.000)
Tb (0.000, 0.500, 0.500)
Tb (0.500, 0.000, 0.500)
Tb (0.500, 0.500, 0.000)
Be (0.250, 0.250, 0.250)
Be (0.250, 0.750, 0.750)
Be (0.750, 0.250, 0.750)
Be (0.750, 0.750, 0.250)
Ga (0.000, 0.000, 0.500)
Ga (0.000, 0.500, 0.000)
Ga (0.500, 0.000, 0.000)
Ga (0.500, 0.500, 0.500)


Record 7
TbBeGa: relaxed, GGA-PBE.

Output
- E_form: -0.399 eV per atom
- Raw total energy: -4.194 eV/atom
- Magnetization: 0.00 Bohr magnetons per cell
- Space-group type: No. 187
- Density: 7.1 Mg/m³

Lattice parameters (Å, degrees): 4.186 4.186 3.671 90.00 90.00 120.00
Atoms (fractional coordinates):
Tb (0.000, 0.000, 0.000)
Be (0.333, 0.667, 0.500)
Ga (0.667, 0.333, 0.500)


Record 8
Tb2BeGa3: relaxed, GGA-PBE.

Output
- E_form: -0.545 eV per atom
- Raw total energy: -4.223 eV/atom
- Magnetization: 0.00 Bohr magnetons per cell
- Space-group type: No. 69
- Density: 7.6 Mg/m³

Lattice parameters (Å, degrees): 8.505 8.277 5.671 72.43 68.10 39.47
Atoms (fractional coordinates):
Tb (0.246, 0.754, 0.754)
Tb (0.250, 0.250, 0.250)
Tb (0.750, 0.750, 0.750)
Tb (0.754, 0.246, 0.246)
Be (0.333, 0.333, 0.667)
Be (0.667, 0.667, 0.333)
Ga (0.174, 0.174, 0.826)
Ga (0.174, 0.652, 0.348)
Ga (0.348, 0.826, 0.174)
Ga (0.652, 0.174, 0.826)
Ga (0.826, 0.348, 0.652)
Ga (0.826, 0.826, 0.174)


Record 9
TbBeGa: relaxed, GGA-PBE.

Output
- E_form: -0.409 eV per atom
- Raw total energy: -4.204 eV/atom
- Magnetization: 0.00 Bohr magnetons per cell
- Space-group type: No. 194
- Density: 7.1 Mg/m³

Lattice parameters (Å, degrees): 4.179 4.179 7.374 90.00 90.00 120.00
Atoms (fractional coordinates):
Tb (0.000, 0.000, 0.000)
Tb (0.000, 0.000, 0.500)
Be (0.333, 0.667, 0.250)
Be (0.667, 0.333, 0.750)
Ga (0.333, 0.667, 0.750)
Ga (0.667, 0.333, 0.250)


Record 10
Tb2BeGa3: relaxed, GGA-PBE.

Output
- E_form: -0.542 eV per atom
- Raw total energy: -4.219 eV/atom
- Magnetization: 0.00 Bohr magnetons per cell
- Space-group type: No. 25
- Density: 7.5 Mg/m³

Lattice parameters (Å, degrees): 3.855 4.216 7.292 90.00 90.00 90.00
Atoms (fractional coordinates):
Tb (0.000, 0.000, 0.000)
Tb (0.000, 0.500, 0.491)
Be (0.500, 0.000, 0.324)
Ga (0.500, 0.000, 0.643)
Ga (0.500, 0.500, 0.177)
Ga (0.500, 0.500, 0.831)


Record 11
Tb3Be2Ga4: relaxed, GGA-PBE.

Output
- E_form: -0.504 eV per atom
- Raw total energy: -4.221 eV/atom
- Magnetization: 0.00 Bohr magnetons per cell
- Space-group type: No. 12
- Density: 7.4 Mg/m³

Lattice parameters (Å, degrees): 5.653 5.653 8.206 105.37 105.37 43.73
Atoms (fractional coordinates):
Tb (0.000, 0.000, 0.000)
Tb (0.342, 0.342, 0.334)
Tb (0.658, 0.658, 0.666)
Be (0.377, 0.377, 0.710)
Be (0.623, 0.623, 0.290)
Ga (0.068, 0.068, 0.386)
Ga (0.280, 0.280, 0.932)
Ga (0.720, 0.720, 0.068)
Ga (0.932, 0.932, 0.614)


Record 12
TbTmBeGa: relaxed, GGA-PBE.

Output
- E_form: -0.242 eV per atom
- Raw total energy: -4.206 eV/atom
- Magnetization: 0.00 Bohr magnetons per cell
- Space-group type: No. 216
- Density: 8.0 Mg/m³

Lattice parameters (Å, degrees): 6.955 6.955 6.955 90.00 90.00 90.00
Atoms (fractional coordinates):
Tb (0.000, 0.000, 0.000)
Tb (0.000, 0.500, 0.500)
Tb (0.500, 0.000, 0.500)
Tb (0.500, 0.500, 0.000)
Tm (0.000, 0.000, 0.500)
Tm (0.000, 0.500, 0.000)
Tm (0.500, 0.000, 0.000)
Tm (0.500, 0.500, 0.500)
Be (0.250, 0.250, 0.750)
Be (0.250, 0.750, 0.250)
Be (0.750, 0.250, 0.250)
Be (0.750, 0.750, 0.750)
Ga (0.250, 0.250, 0.250)
Ga (0.250, 0.750, 0.750)
Ga (0.750, 0.250, 0.750)
Ga (0.750, 0.750, 0.250)